Here is crystalline Sc36In5Co13 at its relaxed geometry from Alexandria via LeMat-Bulk. Energies are from PBE.

Lattice parameters (Å, degrees): 7.770 7.770 19.900 77.30 77.30 68.89
Sites, in units of the cell vectors:
Sc 0.103 0.103 0.839
Sc 0.439 0.439 0.174
Sc 0.787 0.787 0.508
Sc 0.897 0.897 0.161
Sc 0.213 0.213 0.492
Sc 0.561 0.561 0.826
Sc 0.750 0.750 0.017
Sc 0.081 0.081 0.365
Sc 0.421 0.421 0.679
Sc 0.250 0.250 0.983
Sc 0.579 0.579 0.321
Sc 0.919 0.919 0.635
Sc 0.826 0.422 0.937
Sc 0.160 0.760 0.274
Sc 0.488 0.090 0.603
Sc 0.578 0.174 0.063
Sc 0.910 0.512 0.397
Sc 0.240 0.840 0.726
Sc 0.174 0.578 0.063
Sc 0.512 0.910 0.397
Sc 0.840 0.240 0.726
Sc 0.422 0.826 0.937
Sc 0.760 0.160 0.274
Sc 0.090 0.488 0.603
Sc 0.318 0.889 0.104
Sc 0.661 0.214 0.441
Sc 0.982 0.558 0.766
Sc 0.111 0.682 0.896
Sc 0.442 0.018 0.234
Sc 0.786 0.339 0.559
Sc 0.889 0.318 0.104
Sc 0.214 0.661 0.441
Sc 0.558 0.982 0.766
Sc 0.682 0.111 0.896
Sc 0.018 0.442 0.234
Sc 0.339 0.786 0.559
In 0.000 0.000 0.000
In 0.334 0.334 0.335
In 0.666 0.666 0.665
In 0.332 0.332 0.831
In 0.668 0.668 0.169
Co 0.457 0.457 0.956
Co 0.789 0.789 0.290
Co 0.122 0.122 0.622
Co 0.543 0.543 0.044
Co 0.878 0.878 0.378
Co 0.211 0.211 0.710
Co 0.000 0.000 0.500
Co 0.752 0.752 0.872
Co 0.088 0.088 0.206
Co 0.422 0.422 0.540
Co 0.248 0.248 0.128
Co 0.578 0.578 0.460
Co 0.912 0.912 0.794

Properties
As for the formation energy: -0.326 eV/atom.